DFT (GGA-PBE) results for Pu2HgOs after structural relaxation.

Calculated values
ΔH_f (0 K) in eV per atom: 0.128
Offset from the most stable computed form in eV/f.u.: 1.06

Unit cell a=5.0980 b=5.0980 c=3.4405 alpha=90.00 beta=90.00 gamma=90.00
Space group P4/mmm (No. 123)
Symmetry-distinct sites (fractional):
Pu  0.0000  0.5000  0.0000
Hg  0.0000  0.0000  0.5000
Os  0.5000  0.5000  0.5000

***

DFT (GGA-PBE) results for SmGaSn2 after structural relaxation.

Calculated values
ΔH_f (0 K) in eV per atom: -0.504
Offset from the most stable computed form in eV/f.u.: 0.00

Unit cell a=4.5576 b=4.5576 c=4.7732 alpha=90.00 beta=90.00 gamma=90.00
Space group P4/mmm (No. 123)
Symmetry-distinct sites (fractional):
Sm  0.0000  0.0000  0.0000
Ga  0.5000  0.5000  0.0000
Sn  0.0000  0.5000  0.5000

***

DFT (GGA-PBE) results for Sc2FeTe after structural relaxation.

Calculated values
Formation energy from raw total energies in kJ/mol of formula units: -71

Unit cell a=4.2897 b=4.2897 c=14.7543 alpha=90.00 beta=90.00 gamma=120.00
Space group R3m (No. 160, hexagonal axes)
Symmetry-distinct sites (fractional):
Sc  0.0000  0.0000  0.0000
Sc  0.0000  0.0000  0.2143
Fe  0.0000  0.0000  0.7301
Te  0.0000  0.0000  0.4386

***

DFT (GGA-PBE) results for USb3Au after structural relaxation.

Calculated values
Formation energy from raw total energies in kJ/mol of formula units: -63

Unit cell a=13.0163 b=6.2309 c=6.1644 alpha=90.00 beta=90.00 gamma=90.00
Space group Pbcm (No. 57)
Symmetry-distinct sites (fractional):
U  0.1873  0.0029  0.2500
Sb  0.0004  0.2500  0.0000
Sb  0.2296  0.5048  0.2500
Sb  0.4240  0.6312  0.7500
Au  0.3873  0.2500  0.0000

***

DFT (GGA-PBE) results for RbBeMo3 after structural relaxation.

Calculated values
ΔH_f (0 K) in eV per atom: 1.834
Offset from the most stable computed form in eV/f.u.: 0.00

Unit cell a=4.5404 b=4.5404 c=4.5404 alpha=90.00 beta=90.00 gamma=90.00
Space group Pm-3m (No. 221)
Symmetry-distinct sites (fractional):
Rb  0.0000  0.0000  0.0000
Be  0.5000  0.5000  0.5000
Mo  0.0000  0.5000  0.5000

***

DFT (GGA-PBE) results for Pm2Sm8Y after structural relaxation.

Calculated values
ΔH_f (0 K) in eV per atom: 0.015
Offset from the most stable computed form in eV/f.u.: 0.00

Unit cell a=18.4814 b=5.1313 c=8.1200 alpha=90.00 beta=105.32 gamma=90.00
Space group C2/m (No. 12)
Symmetry-distinct sites (fractional):
Pm  0.2271  0.0000  0.1366
Sm  0.0454  0.0000  0.2277
Sm  0.0905  0.5000  0.9538
Sm  0.1361  0.0000  0.6810
Sm  0.1817  0.5000  0.4090
Y  0.0000  0.5000  0.5000